VASP calculation (PBE-GGA) on a relaxed structure of MgZrTc2.

Unit cell a=5.083 b=5.083 c=4.700 alpha=67.82 beta=67.82 gamma=38.49
Element x y z (fractional)
1 Mg 0.250 0.250 0.250
2 Tc 0.005 0.005 0.029
3 Tc 0.495 0.495 0.471
4 Zr 0.750 0.750 0.750

Computed properties:
Magnetic moment ... 0.00 μB per atom
Space-group type ... C2/m, No. 12
Volume ... 17.31 Å³ per atom
DFT formation energy ... 0.13 eV per atom
Electronic total energy ... -30.34 eV per cell



VASP calculation (PBE-GGA) on a relaxed structure of LaBe3Pt.

Unit cell a=15.050 b=6.535 c=6.535 alpha=141.61 beta=150.20 gamma=29.80
Element x y z (fractional)
1 Be 0.826 0.194 0.806
2 Be 0.174 0.806 0.194
3 Be 0.836 0.537 0.463
4 Be 0.164 0.463 0.537
5 Be 0.397 0.681 0.319
6 Be 0.603 0.319 0.681
7 Pt 0.995 0.837 0.163
8 Pt 0.005 0.163 0.837
9 La 0.641 0.019 0.981
10 La 0.359 0.981 0.019

Computed properties:
Magnetic moment ... 0.00 μB per atom
Space-group type ... C2/m, No. 12
Volume ... 15.75 Å³ per atom
DFT formation energy ... -0.20 eV per atom
Electronic total energy ... -46.30 eV per cell



VASP calculation (PBE-GGA) on a relaxed structure of La3Nd4DyTe8.

Unit cell a=9.053 b=9.004 c=9.040 alpha=120.03 beta=120.05 gamma=90.00
Element x y z (fractional)
1 La 0.500 0.500 0.000
2 La 0.500 0.500 0.500
3 La 0.000 0.500 0.500
4 Nd 0.500 0.000 0.000
5 Nd 0.500 0.000 0.500
6 Nd 0.000 0.000 0.000
7 Nd 0.000 0.000 0.500
8 Dy 0.000 0.500 0.000
9 Te 0.246 0.749 0.003
10 Te 0.246 0.749 0.491
11 Te 0.248 0.245 0.497
12 Te 0.758 0.749 0.003
13 Te 0.242 0.251 0.997
14 Te 0.752 0.755 0.503
15 Te 0.754 0.251 0.509
16 Te 0.754 0.251 0.997

Computed properties:
Magnetic moment ... 0.00 μB per atom
Space-group type ... C2/m, No. 12
Volume ... 32.52 Å³ per atom
E_form (uncorrected) ... -1.465 eV/atom
Electronic total energy ... -87.03 eV per cell